Entry 1:
First-principles (PBE) data for an optimized crystal structure of Na2GePd, as listed in Alexandria.

Lattice parameters (Å, degrees): 5.7963 5.7963 5.3884 90.00 90.00 74.02
Sites, in units of the cell vectors:
1 Na 0.0264 0.3357 0.2500
2 Na 0.3357 0.0264 0.7500
3 Na 0.6643 0.9736 0.2500
4 Na 0.9736 0.6643 0.7500
5 Ge 0.5000 0.5000 0.0000
6 Ge 0.5000 0.5000 0.5000
7 Pd 0.1990 0.8010 0.2500
8 Pd 0.8010 0.1990 0.7500

Properties
- SG = Cmcm (63)
- electronic total energy (eV/cell) = -26.26


Entry 2:
First-principles (PBE) data for an optimized crystal structure of NaGe6Pd12, as listed in Alexandria.

Lattice parameters (Å, degrees): 7.2727 7.2727 7.2727 105.70 105.70 105.70
Sites, in units of the cell vectors:
1 Na 0.0000 0.0000 0.0000
2 Ge 0.2535 0.2535 0.6901
3 Ge 0.2535 0.6901 0.2535
4 Ge 0.3099 0.7465 0.7465
5 Ge 0.6901 0.2535 0.2535
6 Ge 0.7465 0.3099 0.7465
7 Ge 0.7465 0.7465 0.3099
8 Pd 0.1251 0.5000 0.8749
9 Pd 0.1251 0.8749 0.5000
10 Pd 0.1702 0.4299 0.4299
11 Pd 0.4299 0.1702 0.4299
12 Pd 0.4299 0.4299 0.1702
13 Pd 0.5000 0.1251 0.8749
14 Pd 0.5000 0.8749 0.1251
15 Pd 0.5701 0.5701 0.8298
16 Pd 0.5701 0.8298 0.5701
17 Pd 0.8298 0.5701 0.5701
18 Pd 0.8749 0.1251 0.5000
19 Pd 0.8749 0.5000 0.1251

Properties
- SG = R-3m (166)
- electronic total energy (eV/cell) = -99.51


Entry 3:
First-principles (PBE) data for an optimized crystal structure of Na6Ge2Pd, as listed in Alexandria.

Lattice parameters (Å, degrees): 10.0828 10.0828 10.0828 29.79 29.79 29.79
Sites, in units of the cell vectors:
1 Na 0.0809 0.0809 0.0809
2 Na 0.1960 0.1960 0.1960
3 Na 0.3096 0.3096 0.3096
4 Na 0.6904 0.6904 0.6904
5 Na 0.8040 0.8040 0.8040
6 Na 0.9191 0.9191 0.9191
7 Ge 0.4160 0.4160 0.4160
8 Ge 0.5840 0.5840 0.5840
9 Pd 0.5000 0.5000 0.5000

Properties
- SG = R-3m (166)
- electronic total energy (eV/cell) = -23.55


Entry 4:
First-principles (PBE) data for an optimized crystal structure of Na3Ge4Pd, as listed in Alexandria.

Lattice parameters (Å, degrees): 5.8670 11.2226 5.6978 90.00 90.00 90.00
Sites, in units of the cell vectors:
1 Na 0.2500 0.0026 0.1796
2 Na 0.2500 0.2500 0.5562
3 Na 0.2500 0.4974 0.1796
4 Na 0.7500 0.5026 0.8204
5 Na 0.7500 0.7500 0.4438
6 Na 0.7500 0.9974 0.8204
7 Ge 0.0086 0.2500 0.0466
8 Ge 0.2500 0.6216 0.6774
9 Ge 0.2500 0.8784 0.6774
10 Ge 0.4914 0.2500 0.0466
11 Ge 0.5086 0.7500 0.9534
12 Ge 0.7500 0.1216 0.3226
13 Ge 0.7500 0.3784 0.3226
14 Ge 0.9914 0.7500 0.9534
15 Pd 0.2500 0.7500 0.3149
16 Pd 0.7500 0.2500 0.6851

Properties
- SG = Pmmn (59)
- electronic total energy (eV/cell) = -58.50


Entry 5:
First-principles (PBE) data for an optimized crystal structure of Na3Ge7Pd2, as listed in Alexandria.

Lattice parameters (Å, degrees): 5.9586 4.0006 11.1325 90.00 102.71 90.00
Sites, in units of the cell vectors:
1 Na 0.0000 0.0000 0.0000
2 Na 0.2207 0.0000 0.3925
3 Na 0.7793 0.0000 0.6075
4 Ge 0.0892 0.5000 0.7955
5 Ge 0.3174 0.5000 0.6270
6 Ge 0.4031 0.0000 0.8053
7 Ge 0.5000 0.5000 0.0000
8 Ge 0.5969 0.0000 0.1947
9 Ge 0.6826 0.5000 0.3730
10 Ge 0.9108 0.5000 0.2045
11 Pd 0.3136 0.5000 0.1910
12 Pd 0.6864 0.5000 0.8090

Properties
- SG = P2/m (10)
- electronic total energy (eV/cell) = -47.78


Entry 6:
First-principles (PBE) data for an optimized crystal structure of NaGePd2, as listed in Alexandria.

Lattice parameters (Å, degrees): 4.4242 4.4242 3.2527 90.00 90.00 90.00
Sites, in units of the cell vectors:
1 Na 0.0000 0.0000 0.0000
2 Ge 0.5000 0.5000 0.0000
3 Pd 0.0000 0.5000 0.5000
4 Pd 0.5000 0.0000 0.5000

Properties
- SG = P4/mmm (123)
- electronic total energy (eV/cell) = -17.35


Entry 7:
First-principles (PBE) data for an optimized crystal structure of Na4Ge5Pd, as listed in Alexandria.

Lattice parameters (Å, degrees): 7.0532 7.0532 7.0532 100.83 100.83 128.62
Sites, in units of the cell vectors:
1 Na 0.0000 0.2986 0.2986
2 Na 0.0000 0.7014 0.7014
3 Na 0.2986 0.0000 0.2986
4 Na 0.7014 0.0000 0.7014
5 Ge 0.2204 0.2204 0.0000
6 Ge 0.3711 0.3711 0.6970
7 Ge 0.3711 0.6741 0.0000
8 Ge 0.6741 0.3711 0.0000
9 Ge 0.6741 0.6741 0.3030
10 Pd 0.8127 0.8127 0.0000

Properties
- SG = I4mm (107)
- electronic total energy (eV/cell) = -34.45


Entry 8:
First-principles (PBE) data for an optimized crystal structure of NaGe3Pd, as listed in Alexandria.

Lattice parameters (Å, degrees): 4.9541 4.9541 4.9541 90.00 90.00 90.00
Sites, in units of the cell vectors:
1 Na 0.0000 0.0000 0.0000
2 Ge 0.0000 0.5000 0.5000
3 Ge 0.5000 0.0000 0.5000
4 Ge 0.5000 0.5000 0.0000
5 Pd 0.5000 0.5000 0.5000

Properties
- SG = Pm-3m (221)
- electronic total energy (eV/cell) = -19.33